No. 1
VASP calculation (GGA-PBE) on a relaxed structure of Ac2PuGe3Pt4.

Cell: 4.468 4.468 11.085 Å, 90.00 90.00 90.00°
Fractional coordinates of all 10 atoms:
Ac 0.000 0.500 0.231
Ac 0.500 0.000 0.769
Pu 0.000 0.000 0.500
Ge 0.000 0.500 0.884
Ge 0.500 0.000 0.116
Ge 0.500 0.500 0.500
Pt 0.000 0.000 0.000
Pt 0.000 0.500 0.657
Pt 0.500 0.000 0.343
Pt 0.500 0.500 0.000

Summary:
ΔH_f (0 K) in meV/atom: -890
Crystal system: tetragonal
Symmetry: P-4m2 (115)

=====

No. 2
VASP calculation (GGA-PBE) on a relaxed structure of In2SbIr.

Cell: 5.266 5.266 3.224 Å, 90.00 90.00 108.89°
Fractional coordinates of all 4 atoms:
In 0.000 0.500 0.000
In 0.500 0.000 0.000
Sb 0.000 0.000 0.500
Ir 0.500 0.500 0.500

Summary:
Crystal system: orthorhombic
E_form (uncorrected) in eV/atom: 0.3197
Symmetry: Cmmm (65)

=====

Total magnetization across the listed records, respectively: 5.49 0.00 μB/cell.